1.
VASP calculation (PBE) on YErMnTc after structural relaxation.

The structure in extended XYZ format:
```
4
Lattice="0.000 3.472 3.472 3.472 0.000 3.472 3.472 3.472 0.000" Properties=species:S:1:pos:R:3 pbc="T T T"
Y 0.000 0.000 0.000
Er 3.472 3.472 3.472
Mn 1.736 1.736 1.736
Tc 5.208 5.208 5.208
```

Space group: F-43m, No. 216
Energy, eV/atom: -7.517
Formation enthalpy at 0 K, kJ per mole of atoms: 12
Total magnetization, Bohr magnetons per cell: 3.791

2.
VASP calculation (PBE) on Zr5In3Cu after structural relaxation.

The structure in extended XYZ format:
```
18
Lattice="8.745 0.000 0.000 -4.373 7.574 0.000 0.000 0.000 5.902" Properties=species:S:1:pos:R:3 pbc="T T T"
Zr -1.167 2.021 1.475
Zr -3.206 5.553 4.426
Zr 2.334 0.000 1.475
Zr 1.167 2.021 4.426
Zr 0.000 5.049 0.000
Zr 0.000 5.049 2.951
Zr 4.373 2.525 0.000
Zr 4.373 2.525 2.951
Zr 6.412 0.000 4.426
Zr 3.206 5.553 1.475
In -1.667 2.887 4.426
In -2.706 4.687 1.475
In 3.333 0.000 4.426
In 1.667 2.887 1.475
In 5.412 0.000 1.475
In 2.706 4.687 4.426
Cu 0.000 0.000 0.000
Cu 0.000 0.000 2.951
```

Space group: P6_3/mcm, No. 193
Energy, eV/atom: -6.362
Formation enthalpy at 0 K, kJ per mole of atoms: -24
Total magnetization, Bohr magnetons per cell: 0.000

3.
VASP calculation (PBE) on FeH2Pd after structural relaxation.

The structure in extended XYZ format:
```
4
Lattice="1.392 0.804 4.990 -1.392 0.804 4.990 0.000 -1.608 4.990" Properties=species:S:1:pos:R:3 pbc="T T T"
Fe 0.000 0.000 0.000
H 0.000 0.000 5.718
H 0.000 0.000 9.251
Pd 0.000 0.000 7.485
```

Space group: R-3m, No. 166
Energy, eV/atom: -5.058
Excess energy over the best structure of this formula in the dataset, meV/atom: 0
Total magnetization, Bohr magnetons per cell: 2.330

4.
VASP calculation (PBE) on PrMg3 after structural relaxation.

The structure in extended XYZ format:
```
4
Lattice="4.787 0.000 0.000 0.000 4.787 0.000 0.000 0.000 4.756" Properties=species:S:1:pos:R:3 pbc="T T T"
Pr 0.000 0.000 0.000
Mg 0.000 2.394 2.378
Mg 2.394 0.000 2.378
Mg 2.394 2.394 0.000
```

Space group: P4/mmm, No. 123
Energy, eV/atom: -2.460
Formation enthalpy at 0 K, kJ per mole of atoms: -7
Total magnetization, Bohr magnetons per cell: 0.000

5.
VASP calculation (PBE) on TiPt7 after structural relaxation.

The structure in extended XYZ format:
```
8
Lattice="-1.977 1.977 7.957 1.977 -1.977 7.957 1.977 1.977 -7.957" Properties=species:S:1:pos:R:3 pbc="T T T"
Ti 0.000 0.000 0.000
Pt 1.977 0.000 1.910
Pt 0.000 0.000 4.048
Pt 1.977 0.000 6.046
Pt 0.000 0.000 7.957
Pt 0.000 1.977 1.910
Pt 0.000 0.000 11.865
Pt 0.000 1.977 6.046
```

Space group: I4/mmm, No. 139
Energy, eV/atom: -6.750
Formation enthalpy at 0 K, kJ per mole of atoms: -46
Total magnetization, Bohr magnetons per cell: 0.000

6.
VASP calculation (PBE) on InIr2Rh after structural relaxation.

The structure in extended XYZ format:
```
4
Lattice="2.836 0.000 0.000 0.000 4.794 0.000 -0.047 0.000 4.714" Properties=species:S:1:pos:R:3 pbc="T T T"
In 0.000 0.000 0.000
Ir 0.689 2.397 3.489
Ir 2.099 2.397 1.225
Rh 1.394 0.000 2.357
```

Space group: P2/m, No. 10
Energy, eV/atom: -6.815
Formation enthalpy at 0 K, kJ per mole of atoms: 13
Total magnetization, Bohr magnetons per cell: 0.000

7.
VASP calculation (PBE) on Sc3NO after structural relaxation.

The structure in extended XYZ format:
```
10
Lattice="2.753 1.589 5.287 -2.753 1.589 5.287 0.000 -3.178 5.287" Properties=species:S:1:pos:R:3 pbc="T T T"
Sc -1.850 -0.042 6.566
Sc -0.888 -1.623 9.297
Sc 0.961 -1.581 6.566
Sc -0.961 1.581 9.297
Sc 0.888 1.623 6.566
Sc 1.850 0.042 9.297
N 0.000 0.000 5.346
N 0.000 0.000 10.516
O 0.000 0.000 2.562
O 0.000 0.000 13.300
```

Space group: R-3, No. 148
ΔE_f (raw), kJ/mol of formula units: -898
Energy, eV/atom: -8.316
Excess energy over the best structure of this formula in the dataset, meV/atom: 0
Total magnetization, Bohr magnetons per cell: 0.002

8.
VASP calculation (PBE) on Cs4Cd5Pt after structural relaxation.

The structure in extended XYZ format:
```
10
Lattice="-6.282 6.282 2.807 6.282 -6.282 2.807 6.282 6.282 -2.807" Properties=species:S:1:pos:R:3 pbc="T T T"
Cs 3.674 0.000 0.000
Cs 8.890 0.000 0.000
Cs 0.000 3.674 0.000
Cs 0.000 8.890 0.000
Cd 0.000 0.000 0.000
Cd 4.336 4.336 0.000
Cd 1.945 -1.945 2.807
Cd -1.945 1.945 2.807
Cd 1.945 1.945 2.807
Pt 0.000 0.000 2.807
```

Space group: I4/mmm, No. 139
Energy, eV/atom: -1.457
Formation enthalpy at 0 K, kJ per mole of atoms: -5
Total magnetization, Bohr magnetons per cell: 0.000

9.
VASP calculation (PBE) on Sr2LaBe after structural relaxation.

The structure in extended XYZ format:
```
4
Lattice="3.630 -4.807 0.000 3.630 4.807 0.000 0.000 0.000 4.054" Properties=species:S:1:pos:R:3 pbc="T T T"
Sr 1.815 2.404 0.000
Sr 1.815 -2.404 0.000
La 0.000 0.000 2.027
Be 3.630 0.000 2.027
```

Space group: Cmmm, No. 65
Energy, eV/atom: -2.433
Formation enthalpy at 0 K, kJ per mole of atoms: 55
Total magnetization, Bohr magnetons per cell: 0.000

10.
VASP calculation (PBE) on Rb3Tl2AgF9 after structural relaxation.

The structure in extended XYZ format:
```
15
Lattice="6.530 0.000 0.000 -3.265 5.655 0.000 0.000 0.000 8.055" Properties=species:S:1:pos:R:3 pbc="T T T"
Rb 0.000 0.000 0.000
Rb 0.000 3.770 5.218
Rb 3.265 1.885 2.837
Tl 0.000 3.770 1.360
Tl 3.265 1.885 6.696
Ag 0.000 0.000 4.028
F -1.632 2.828 0.000
F 0.000 1.911 2.654
F -1.610 4.700 2.654
F 1.655 0.955 5.402
F 3.265 0.000 0.000
F 1.632 2.828 0.000
F 1.610 4.700 2.654
F 4.875 0.955 5.402
F 3.265 3.744 5.402
```

Space group: P-3m1, No. 164
ΔE_f (raw), kJ/mol of formula units: -3063
Energy, eV/atom: -3.939
Total magnetization, Bohr magnetons per cell: 0.000

11.
VASP calculation (PBE) on TaIn2Pt after structural relaxation.

The structure in extended XYZ format:
```
4
Lattice="5.564 -1.464 0.000 5.564 1.464 0.000 -1.984 0.000 4.827" Properties=species:S:1:pos:R:3 pbc="T T T"
Ta 0.000 0.000 0.000
In 0.982 0.000 4.253
In 4.159 0.000 2.313
Pt 7.096 0.000 1.776
```

Space group: Cm, No. 8
Energy, eV/atom: -5.893
Formation enthalpy at 0 K, kJ per mole of atoms: -5
Excess energy over the best structure of this formula in the dataset, meV/atom: 85
Total magnetization, Bohr magnetons per cell: 0.000

12.
VASP calculation (PBE) on Sr2Ca3Cd after structural relaxation.

The structure in extended XYZ format:
```
12
Lattice="2.855 -8.692 0.000 2.855 8.692 0.000 0.000 0.000 9.922" Properties=species:S:1:pos:R:3 pbc="T T T"
Sr 0.000 0.000 0.000
Sr 0.000 0.000 4.961
Sr 2.855 2.900 0.000
Sr 2.855 -2.900 0.000
Ca 2.855 5.565 3.047
Ca 2.855 5.565 6.876
Ca 2.855 0.000 2.733
Ca 2.855 0.000 7.189
Ca 2.855 -5.565 3.047
Ca 2.855 -5.565 6.876
Cd 2.855 2.546 4.961
Cd 2.855 -2.546 4.961
```

Space group: Cmmm, No. 65
Energy, eV/atom: -1.783
Formation enthalpy at 0 K, kJ per mole of atoms: -7
Excess energy over the best structure of this formula in the dataset, meV/atom: 0
Total magnetization, Bohr magnetons per cell: 0.000